# YTcBiW2

A relaxed YTcBiW2 crystal (PBE-GGA, Alexandria via LeMat-Bulk).

Lattice parameters (Å, degrees): 4.760 5.375 4.760 90.00 90.00 90.00
Element x y z (fractional)
Y 0.000 0.500 0.000
Bi 0.500 0.500 0.500
W 0.500 0.000 0.000
W 0.000 0.000 0.500
Tc 0.000 0.000 0.000

Computed properties:
crystal system = tetragonal
formation energy from the elements = 1.10 eV per atom
calculated density = 10.4 Mg/m³